First-principles (GGA-PBE) data for an optimized crystal structure of Tb2Ga4CuPd3, as listed in Alexandria via LeMat-Bulk.

Lattice parameters (Å, degrees): 4.040 4.040 11.337 90.00 90.00 90.00
Fractional coordinates of all 10 atoms:
Tb (0.000, 0.500, 0.247)
Tb (0.500, 0.000, 0.753)
Ga (0.000, 0.000, 0.500)
Ga (0.000, 0.500, 0.867)
Ga (0.500, 0.000, 0.133)
Ga (0.500, 0.500, 0.500)
Cu (0.500, 0.500, 0.000)
Pd (0.000, 0.000, 0.000)
Pd (0.000, 0.500, 0.645)
Pd (0.500, 0.000, 0.355)

Calculated values
Electronic total energy, eV/atom: -4.80
DFT formation energy, eV/atom: -0.695
Space-group type: P-4m2, No. 115
Crystal system: tetragonal


First-principles (GGA-PBE) data for an optimized crystal structure of Li2MnW, as listed in Alexandria via LeMat-Bulk.

Lattice parameters (Å, degrees): 2.489 2.489 9.105 90.00 90.00 90.00
Fractional coordinates of all 4 atoms:
Li (0.000, 0.000, 0.237)
Li (0.000, 0.000, 0.763)
Mn (0.500, 0.500, 0.000)
W (0.500, 0.500, 0.500)

Calculated values
Electronic total energy, eV/atom: -5.85
DFT formation energy, eV/atom: 0.634
Space-group type: P4/mmm, No. 123
Crystal system: tetragonal


- The lowest DFT formation energy belongs to which entry?
  Tb2Ga4CuPd3


- Look up the DFT formation energy of the first one.
  -0.695 eV/atom


- electronic total energy of number 2 (Li2MnW)?
  -5.85 eV/atom


Copy entry 1 word for word.
First-principles (GGA-PBE) data for an optimized crystal structure of Tb2Ga4CuPd3, as listed in Alexandria via LeMat-Bulk.

Lattice parameters (Å, degrees): 4.040 4.040 11.337 90.00 90.00 90.00
Fractional coordinates of all 10 atoms:
Tb (0.000, 0.500, 0.247)
Tb (0.500, 0.000, 0.753)
Ga (0.000, 0.000, 0.500)
Ga (0.000, 0.500, 0.867)
Ga (0.500, 0.000, 0.133)
Ga (0.500, 0.500, 0.500)
Cu (0.500, 0.500, 0.000)
Pd (0.000, 0.000, 0.000)
Pd (0.000, 0.500, 0.645)
Pd (0.500, 0.000, 0.355)

Calculated values
Electronic total energy, eV/atom: -4.80
DFT formation energy, eV/atom: -0.695
Space-group type: P-4m2, No. 115
Crystal system: tetragonal